The following is a DFT calculation (PBE) of an optimized crystal structure of NpMnSe3.

Calculated values
- SG = Pnma, No. 62
- energy relative to the elements, uncorrected (kJ per mole of atoms) = -75
- crystal system = orthorhombic
- E above lowest polymorph (meV per atom) = 0

a b c (Å): 8.0238 3.9002 13.4757
angles (deg): 90.00 90.00 90.00
Last column: nearest neighbours and their distance in Å.
Fractional coordinates of all 20 atoms:
1 Np 0.1072 0.2500 0.1718  9 Se 3.00-3.15
2 Np 0.3928 0.7500 0.6718  9 Se 3.00-3.15
3 Np 0.6072 0.2500 0.3282  9 Se 3.00-3.15
4 Np 0.8928 0.7500 0.8282  9 Se 3.00-3.15
5 Mn 0.1610 0.7500 0.4481  6 Se 2.53-2.58
6 Mn 0.3390 0.2500 0.9481  6 Se 2.53-2.58
7 Mn 0.6610 0.7500 0.0519  6 Se 2.53-2.58
8 Mn 0.8390 0.2500 0.5519  6 Se 2.53-2.58
9 Se 0.0176 0.7500 0.6160  3 Mn 2.54-2.57
10 Se 0.1502 0.7500 0.0044  2 Mn 2.58
11 Se 0.1799 0.2500 0.7861  1 Mn 2.53
12 Se 0.3201 0.7500 0.2861  1 Mn 2.53
13 Se 0.3498 0.2500 0.5044  2 Mn 2.58
14 Se 0.4824 0.2500 0.1160  3 Mn 2.54-2.57
15 Se 0.5176 0.7500 0.8840  3 Mn 2.54-2.57
16 Se 0.6502 0.7500 0.4956  2 Mn 2.58
17 Se 0.6799 0.2500 0.7139  1 Mn 2.53
18 Se 0.8201 0.7500 0.2139  1 Mn 2.53
19 Se 0.8498 0.2500 0.9956  2 Mn 2.58
20 Se 0.9824 0.2500 0.3840  3 Mn 2.54-2.57

***

The following is a DFT calculation (PBE) of an optimized crystal structure of VTe2I.

Calculated values
- SG = I-42d, No. 122
- energy relative to the elements, uncorrected (kJ per mole of atoms) = 13
- crystal system = tetragonal
- E above lowest polymorph (meV per atom) = 303

a b c (Å): 7.6803 7.6803 7.6803
angles (deg): 123.33 123.33 84.33
Last column: nearest neighbours and their distance in Å.
Fractional coordinates of all 8 atoms:
1 V 0.0000 0.0000 0.0000  4 Te 2.54
2 V 0.7500 0.2500 0.5000  4 Te 2.54
3 Te 0.0182 0.6250 0.8932  2 V 2.54
4 Te 0.3750 0.2682 0.3932  2 V 2.54
5 Te 0.7318 0.1250 0.1068  2 V 2.54
6 Te 0.8750 0.9818 0.6068  2 V 2.54
7 I 0.2500 0.7500 0.5000  4 Te 3.48
8 I 0.5000 0.5000 0.0000  4 Te 3.48

***

The following is a DFT calculation (PBE) of an optimized crystal structure of Te4Rh.

Calculated values
- SG = I4/m, No. 87
- energy relative to the elements, uncorrected (kJ per mole of atoms) = 0
- crystal system = tetragonal
- E above lowest polymorph (meV per atom) = 85

a b c (Å): 6.6910 6.6910 6.6910
angles (deg): 94.10 94.10 148.99
Last column: nearest neighbours and their distance in Å.
Fractional coordinates of all 5 atoms:
1 Te 0.0958 0.2167 0.3125  2 Rh 2.81, 2 Te 3.06
2 Te 0.2167 0.9042 0.1209  2 Rh 2.81, 2 Te 3.06
3 Te 0.7833 0.0958 0.8791  2 Rh 2.81, 2 Te 3.06
4 Te 0.9042 0.7833 0.6875  2 Rh 2.81, 2 Te 3.06
5 Rh 0.5000 0.5000 0.0000  8 Te 2.81

***

The following is a DFT calculation (PBE) of an optimized crystal structure of Rb2CuCl4F2.

Calculated values
- SG = I4/mmm, No. 139
- energy relative to the elements, uncorrected (kJ per mole of atoms) = -127
- crystal system = tetragonal

a b c (Å): 6.9543 6.9543 6.9543
angles (deg): 124.58 124.58 82.23
Last column: nearest neighbours and their distance in Å.
Fractional coordinates of all 9 atoms:
1 Rb 0.2500 0.7500 0.5000  4 F 3.31, 8 Cl 3.48
2 Rb 0.7500 0.2500 0.5000  4 F 3.31, 8 Cl 3.48
3 Cu 0.0000 0.0000 0.0000  2 F 1.92
4 Cl 0.2521 0.2521 0.5042  1 Cu 2.31
5 Cl 0.2521 0.7479 0.0000  1 Cu 2.31
6 Cl 0.7479 0.2521 0.0000  1 Cu 2.31
7 Cl 0.7479 0.7479 0.4958  1 Cu 2.31
8 F 0.1835 0.1835 0.0000  1 Cu 1.92
9 F 0.8165 0.8165 0.0000  1 Cu 1.92

***

The following is a DFT calculation (PBE) of an optimized crystal structure of GaCu15Au4.

Calculated values
- SG = P4/mmm, No. 123
- crystal system = tetragonal
- energy of formation from the pure elements (eV per atom) = -0.04

a b c (Å): 3.7750 3.7750 18.7722
angles (deg): 90.00 90.00 90.00
Last column: nearest neighbours and their distance in Å.
Fractional coordinates of all 20 atoms:
1 Ga 0.0000 0.0000 0.0000  12 Cu 2.59-2.67
2 Cu 0.0000 0.5000 0.0945  2 Ga 2.59, 8 Cu 2.59-2.67, 2 Au 2.69
3 Cu 0.0000 0.5000 0.2973  4 Au 2.67-2.68, 8 Cu 2.67-2.70
4 Cu 0.0000 0.5000 0.5000  8 Cu 2.67-2.68, 4 Au 2.68
5 Cu 0.0000 0.5000 0.7027  4 Au 2.67-2.68, 8 Cu 2.67-2.70
6 Cu 0.0000 0.5000 0.9055  8 Cu 2.59-2.67, 2 Ga 2.59, 2 Au 2.69
7 Cu 0.5000 0.0000 0.0945  2 Ga 2.59, 8 Cu 2.59-2.67, 2 Au 2.69
8 Cu 0.5000 0.0000 0.2973  4 Au 2.67-2.68, 8 Cu 2.67-2.70
9 Cu 0.5000 0.0000 0.5000  8 Cu 2.67-2.68, 4 Au 2.68
10 Cu 0.5000 0.0000 0.7027  4 Au 2.67-2.68, 8 Cu 2.67-2.70
11 Cu 0.5000 0.0000 0.9055  8 Cu 2.59-2.67, 2 Ga 2.59, 2 Au 2.69
12 Cu 0.5000 0.5000 0.0000  8 Cu 2.59, 4 Ga 2.67
13 Cu 0.5000 0.5000 0.1947  8 Cu 2.66-2.70, 4 Au 2.67
14 Cu 0.5000 0.5000 0.3985  4 Au 2.67, 8 Cu 2.68
15 Cu 0.5000 0.5000 0.6015  4 Au 2.67, 8 Cu 2.68
16 Cu 0.5000 0.5000 0.8053  8 Cu 2.66-2.70, 4 Au 2.67
17 Au 0.0000 0.0000 0.1969  12 Cu 2.67-2.69
18 Au 0.0000 0.0000 0.3987  12 Cu 2.67-2.68
19 Au 0.0000 0.0000 0.6013  12 Cu 2.67-2.68
20 Au 0.0000 0.0000 0.8031  12 Cu 2.67-2.69

***

Short version: energy = -0.2679, -0.1508, -0.1464, -0.1184, -0.1439 Ha/atom, in the order given.